HgMoF6 | PBE+U | optimized geometry

Its size of the total moment is 2.00 μB per formula unit. The total energy is -4.410 eV/atom. The symmetry is C2/m (12). Its relative energy among the computed polymorphs is 0 kJ/mol of formula units.

Unit cell a=5.2067 b=5.2067 c=5.5585 alpha=96.70 beta=96.70 gamma=114.52
Each line ends with the local moment (μB).
Sites, in units of the cell vectors:
F  0.8616  0.5664  0.7292  0.00
F  0.7332  0.7332  0.2818  0.01
F  0.4336  0.1384  0.2708  0.00
F  0.1384  0.4336  0.2708  0.00
F  0.5664  0.8616  0.7292  0.00
F  0.2668  0.2668  0.7182  0.01
Hg  0.0000  0.0000  0.0000  0.04
Mo  0.5000  0.5000  0.5000  1.88